(1)
! Hf2IrRh2 (GGA-PBE, optimized geometry); values from VASP
! space group	No. 127
! calculated formation energy	-0.672	eV per atom
&SYSTEM
  ibrav = 0, nat = 10, ntyp = 3
/
ATOMIC_SPECIES
Ir 192.22 Ir.upf
Hf 178.49 Hf.upf
Rh 102.91 Rh.upf
ATOMIC_POSITIONS crystal
Ir 0.500 0.500 0.000
Ir 0.000 0.000 0.000
Hf 0.823 0.323 0.500
Hf 0.177 0.677 0.500
Hf 0.677 0.823 0.500
Hf 0.323 0.177 0.500
Rh 0.871 0.629 0.000
Rh 0.129 0.371 0.000
Rh 0.371 0.871 0.000
Rh 0.629 0.129 0.000
CELL_PARAMETERS angstrom
7.200 0.000 0.000
0.000 7.200 0.000
0.000 0.000 3.320

***

(2)
! Hf8IrRh5 (GGA-PBE, optimized geometry); values from VASP
! space group	No. 82
! calculated formation energy	-0.613	eV per atom
&SYSTEM
  ibrav = 0, nat = 14, ntyp = 3
/
ATOMIC_SPECIES
Rh 102.91 Rh.upf
Hf 178.49 Hf.upf
Ir 192.22 Ir.upf
ATOMIC_POSITIONS crystal
Rh 0.500 0.000 0.500
Rh 0.328 0.130 0.988
Rh 0.858 0.870 0.198
Rh 0.802 0.660 0.672
Rh 0.012 0.340 0.142
Hf 0.965 0.132 0.723
Hf 0.728 0.249 0.345
Hf 0.521 0.618 0.272
Hf 0.655 0.382 0.904
Hf 0.167 0.758 0.035
Hf 0.277 0.242 0.409
Hf 0.096 0.751 0.479
Hf 0.591 0.868 0.833
Ir 0.250 0.500 0.750
CELL_PARAMETERS angstrom
-2.823 -6.051 2.215
6.976 -0.113 0.901
-2.836 5.245 3.733

***

(3)
! Hf4Ir5Rh4 (GGA-PBE, optimized geometry); values from VASP
! space group	No. 87
! calculated formation energy	-0.757	eV per atom
&SYSTEM
  ibrav = 0, nat = 13, ntyp = 3
/
ATOMIC_SPECIES
Rh 102.91 Rh.upf
Hf 178.49 Hf.upf
Ir 192.22 Ir.upf
ATOMIC_POSITIONS crystal
Rh 0.608 0.311 0.474
Rh 0.082 0.526 0.311
Rh 0.918 0.474 0.689
Rh 0.392 0.689 0.526
Hf 0.133 0.096 0.638
Hf 0.771 0.362 0.096
Hf 0.229 0.638 0.904
Hf 0.867 0.904 0.362
Ir 0.452 0.240 0.856
Ir 0.000 0.000 0.000
Ir 0.548 0.760 0.144
Ir 0.692 0.856 0.760
Ir 0.308 0.144 0.240
CELL_PARAMETERS angstrom
3.874 0.000 0.985
1.937 7.234 0.492
0.154 0.000 7.504

***

(4)
! HfIr3Rh (GGA-PBE, optimized geometry); values from VASP
! space group	No. 221
! energy above the most stable polymorph in this dataset	382.4	meV/atom
! calculated formation energy	1.759	eV per atom
&SYSTEM
  ibrav = 0, nat = 5, ntyp = 3
/
ATOMIC_SPECIES
Hf 178.49 Hf.upf
Ir 192.22 Ir.upf
Rh 102.91 Rh.upf
ATOMIC_POSITIONS crystal
Hf 0.000 0.000 0.000
Ir 0.000 0.500 0.000
Ir 0.000 0.000 0.500
Ir 0.500 0.000 0.000
Rh 0.500 0.500 0.500
CELL_PARAMETERS angstrom
-3.448 2.509 -2.131
-2.644 -0.272 3.958
1.961 4.044 1.588

***

(5)
! HfIr2Rh (GGA-PBE, optimized geometry); values from VASP
! space group	No. 122
! calculated formation energy	-0.151	eV per atom
&SYSTEM
  ibrav = 0, nat = 8, ntyp = 3
/
ATOMIC_SPECIES
Hf 178.49 Hf.upf
Rh 102.91 Rh.upf
Ir 192.22 Ir.upf
ATOMIC_POSITIONS crystal
Hf 0.000 0.000 0.000
Hf 0.750 0.250 0.500
Rh 0.250 0.750 0.500
Rh 0.500 0.500 0.000
Ir 0.152 0.625 0.250
Ir 0.375 0.402 0.750
Ir 0.875 0.848 0.750
Ir 0.598 0.125 0.250
CELL_PARAMETERS angstrom
3.850 0.000 0.000
0.000 3.850 0.000
1.925 1.925 9.285

***

(6)
! HfIr2Rh (GGA-PBE, optimized geometry); values from VASP
! space group	No. 225
! calculated formation energy	-0.278	eV per atom
&SYSTEM
  ibrav = 0, nat = 4, ntyp = 3
/
ATOMIC_SPECIES
Hf 178.49 Hf.upf
Ir 192.22 Ir.upf
Rh 102.91 Rh.upf
ATOMIC_POSITIONS crystal
Hf 0.500 0.500 0.500
Ir 0.250 0.250 0.250
Ir 0.750 0.750 0.750
Rh 0.000 0.000 0.000
CELL_PARAMETERS angstrom
0.000 3.183 3.183
3.183 0.000 3.183
3.183 3.183 0.000

***

Copy entry 4 word for word.
! HfIr3Rh (GGA-PBE, optimized geometry); values from VASP
! space group	No. 221
! energy above the most stable polymorph in this dataset	382.4	meV/atom
! calculated formation energy	1.759	eV per atom
&SYSTEM
  ibrav = 0, nat = 5, ntyp = 3
/
ATOMIC_SPECIES
Hf 178.49 Hf.upf
Ir 192.22 Ir.upf
Rh 102.91 Rh.upf
ATOMIC_POSITIONS crystal
Hf 0.000 0.000 0.000
Ir 0.000 0.500 0.000
Ir 0.000 0.000 0.500
Ir 0.500 0.000 0.000
Rh 0.500 0.500 0.500
CELL_PARAMETERS angstrom
-3.448 2.509 -2.131
-2.644 -0.272 3.958
1.961 4.044 1.588